Record 1
Here is an optimized crystal structure of CaCd14In from Alexandria via LeMat-Bulk. Energies are from PBE.

Results
For the formation energy, the calculation gives -0.72 eV per formula unit. As for the symmetry: P4/mmm.

a b c (Å): 6.583 6.583 8.723
angles (deg): 90.00 90.00 90.00
Atoms (fractional coordinates):
Cd  0.375  0.875  0.000
Cd  0.624  0.126  0.760
Cd  0.126  0.624  0.240
Cd  0.126  0.126  0.760
Cd  0.126  0.126  0.240
In  0.375  0.375  0.500
Cd  0.875  0.375  0.000
Cd  0.624  0.624  0.760
Ca  0.875  0.875  0.500
Cd  0.126  0.624  0.760
Cd  0.624  0.126  0.240
Cd  0.375  0.875  0.500
Cd  0.875  0.375  0.500
Cd  0.875  0.875  0.000
Cd  0.375  0.375  0.000
Cd  0.624  0.624  0.240

Record 2
Here is an optimized crystal structure of SiINF2 from Alexandria via LeMat-Bulk. Energies are from PBE.

Results
The polymorph energy (0 for the lowest one) comes out at 0.00 eV per formula unit. The calculation puts the uncorrected formation energy at -388 meV/atom. As for the symmetry: P4/mmm.

a b c (Å): 3.875 3.875 4.326
angles (deg): 90.00 90.00 90.00
Atoms (fractional coordinates):
F  0.500  0.000  0.000
Si  0.000  0.000  0.000
N  0.000  0.000  0.500
F  0.000  0.500  0.000
I  0.500  0.500  0.500

Record 3
Here is an optimized crystal structure of Cs6K9Pd from Alexandria via LeMat-Bulk. Energies are from PBE.

Results
For the formation energy, the calculation gives 0.23 eV per formula unit. As for the symmetry: I4/m.

a b c (Å): 10.959 10.959 13.168
angles (deg): 114.59 114.59 90.00
Atoms (fractional coordinates):
K  0.381  0.595  0.349
Cs  0.295  0.107  0.000
K  0.246  0.619  0.651
K  0.619  0.405  0.651
K  0.405  0.032  0.651
Pd  0.000  0.000  0.000
K  0.032  0.246  0.651
K  0.968  0.754  0.349
K  0.595  0.968  0.349
Cs  0.107  0.705  0.000
Cs  0.893  0.295  0.000
K  0.500  0.500  0.000
Cs  0.705  0.893  0.000
Cs  0.160  0.160  0.321
Cs  0.840  0.840  0.679
K  0.754  0.381  0.349

Record 4
Here is an optimized crystal structure of Mg2InAs from Alexandria via LeMat-Bulk. Energies are from PBE.

Results
The polymorph energy (0 for the lowest one) comes out at 0.27 eV per formula unit. For the formation energy, the calculation gives -0.84 eV per formula unit. As for the symmetry: Imm2.

a b c (Å): 6.678 6.678 6.678
angles (deg): 147.87 144.11 48.93
Atoms (fractional coordinates):
Mg  0.311  0.811  0.500
In  0.698  0.198  0.500
Mg  0.009  0.009  0.000
As  0.483  0.483  0.000

Record 5
Here is an optimized crystal structure of La4TlHgN from Alexandria via LeMat-Bulk. Energies are from PBE.

Results
The calculation puts the uncorrected formation energy at -653 meV/atom. As for the symmetry: Cmcm.

a b c (Å): 7.343 7.342 8.618
angles (deg): 90.00 115.21 90.00
Atoms (fractional coordinates):
La  0.083  0.750  0.165
La  0.500  0.500  0.500
La  0.413  0.750  0.825
Tl  0.382  0.250  0.763
La  0.000  0.500  0.500
Tl  0.618  0.750  0.237
N  0.751  0.250  0.502
Hg  0.120  0.250  0.239
N  0.249  0.750  0.498
La  0.587  0.250  0.175
Hg  0.880  0.750  0.761
La  0.000  0.000  0.500
La  0.500  0.000  0.500
La  0.917  0.250  0.835

Record 6
Here is an optimized crystal structure of SrHgRu3 from Alexandria via LeMat-Bulk. Energies are from PBE.

Results
The polymorph energy (0 for the lowest one) comes out at 3.89 eV per formula unit. For the formation energy, the calculation gives 12.11 eV per formula unit. As for the symmetry: Pm-3m.

a b c (Å): 4.967 4.967 4.967
angles (deg): 90.00 90.00 90.00
Atoms (fractional coordinates):
Hg  0.500  0.500  0.500
Ru  0.500  0.000  0.000
Sr  0.000  0.000  0.000
Ru  0.000  0.000  0.500
Ru  0.000  0.500  0.000

Record 7
Here is an optimized crystal structure of Rb2LaHg2S4 from Alexandria via LeMat-Bulk. Energies are from PBE.

Results
The calculation puts the uncorrected formation energy at -1013 meV/atom. As for the symmetry: C2/m.

a b c (Å): 4.202 8.346 8.479
angles (deg): 112.05 104.35 90.00
Atoms (fractional coordinates):
S  0.811  0.777  0.622
Hg  0.311  0.976  0.621
S  0.527  0.782  0.054
La  0.000  0.000  0.000
S  0.473  0.218  0.946
S  0.189  0.223  0.378
Rb  0.874  0.439  0.747
Rb  0.126  0.561  0.253
Hg  0.689  0.024  0.379

Record 8
Here is an optimized crystal structure of Ba3Tl2Pb7 from Alexandria via LeMat-Bulk. Energies are from PBE.

Results
For the formation energy, the calculation gives -3.48 eV per formula unit. As for the symmetry: I4/mmm.

a b c (Å): 5.046 5.046 17.135
angles (deg): 98.47 98.47 90.00
Atoms (fractional coordinates):
Pb  0.000  0.000  0.000
Tl  0.141  0.141  0.282
Ba  0.663  0.663  0.325
Pb  0.766  0.766  0.533
Tl  0.859  0.859  0.718
Pb  0.078  0.578  0.156
Pb  0.234  0.234  0.467
Pb  0.578  0.078  0.156
Ba  0.500  0.500  0.000
Pb  0.922  0.422  0.844
Ba  0.337  0.337  0.675
Pb  0.422  0.922  0.844

Taking the records one at a time from the top gives magnetization values of 0.000, 0.000, 0.000, 0.000, 0.000, 5.502, 0.000, 0.000 μB per formula unit.